1.
Density functional theory data (meta-GGA SCAN) for a crystal of LiVP4O12 relaxed with PBEsol.

Computed properties:
Formation energy from raw total energies ... -2.447 eV per atom
Electronic total energy ... -10.016 eV/atom
Energy above the lowest structure with this stoichiometry ... 15.2 kJ/mol of formula units

Lattice parameters (Å, degrees): 8.4910 8.4910 9.6339 118.83 118.83 50.81
Closest atoms and distances in Å follow each position.
Sites, in units of the cell vectors:
Li 0.1941 0.8059 0.7500  4 O 1.88-2.10
Li 0.8059 0.1941 0.2500  4 O 1.88-2.10
V 0.3668 0.6332 0.2500  6 O 1.98-2.00
V 0.6332 0.3668 0.7500  6 O 1.98-2.00
P 0.0485 0.2100 0.6396  4 O 1.47-1.61
P 0.1969 0.5321 0.8386  4 O 1.49-1.59
P 0.2100 0.0485 0.1396  4 O 1.47-1.61
P 0.4679 0.8031 0.6614  4 O 1.49-1.59
P 0.5321 0.1969 0.3386  4 O 1.49-1.59
P 0.7900 0.9515 0.8604  4 O 1.47-1.61
P 0.8031 0.4679 0.1614  4 O 1.49-1.59
P 0.9515 0.7900 0.3604  4 O 1.47-1.61
O 0.0094 0.8359 0.5406  1 P 1.47
O 0.0121 0.2582 0.2080  2 P 1.59-1.61
O 0.1065 0.7058 0.2733  1 P 1.50
O 0.1374 0.3620 0.7145  2 P 1.56-1.60
O 0.1641 0.9906 0.9594  1 P 1.47
O 0.2538 0.5330 0.0117  1 P 1.49
O 0.2582 0.0121 0.7080  2 P 1.59-1.61
O 0.2942 0.8935 0.2267  1 P 1.50
O 0.3520 0.5070 0.7839  1 P 1.51
O 0.3620 0.1374 0.2145  2 P 1.56-1.60
O 0.4670 0.7462 0.4883  1 P 1.49
O 0.4930 0.6480 0.7161  1 P 1.51
O 0.5070 0.3520 0.2839  1 P 1.51
O 0.5330 0.2538 0.5117  1 P 1.49
O 0.6380 0.8626 0.7855  2 P 1.56-1.60
O 0.6480 0.4930 0.2161  1 P 1.51
O 0.7058 0.1065 0.7733  1 P 1.50
O 0.7418 0.9879 0.2920  2 P 1.59-1.61
O 0.7462 0.4670 0.9883  1 P 1.49
O 0.8359 0.0094 0.0406  1 P 1.47
O 0.8626 0.6380 0.2855  2 P 1.56-1.60
O 0.8935 0.2942 0.7267  1 P 1.50
O 0.9879 0.7418 0.7920  2 P 1.59-1.61
O 0.9906 0.1641 0.4594  1 P 1.47

=====

2.
Density functional theory data (meta-GGA SCAN) for a crystal of Li2CrBr relaxed with PBEsol.

Computed properties:
DOS at the Fermi energy ... 1.01 states/eV/f.u.
Formation energy from raw total energies ... -0.163 eV per atom
Electronic total energy ... -10.819 eV/atom
Energy above the lowest structure with this stoichiometry ... 79.1 kJ/mol of formula units

Lattice parameters (Å, degrees): 6.1321 6.1321 6.1321 108.26 108.26 111.92
Closest atoms and distances in Å follow each position.
Sites, in units of the cell vectors:
Li 0.0784 0.6250 0.9534  2 Br 2.47
Li 0.3750 0.3284 0.4534  2 Br 2.47
Li 0.6716 0.1250 0.0466  2 Br 2.47
Li 0.8750 0.9216 0.5466  2 Br 2.47
Cr 0.2500 0.7500 0.5000  4 Li 2.92
Cr 0.5000 0.5000 0.0000  4 Li 2.92
Br 0.0000 0.0000 0.0000  4 Li 2.47
Br 0.7500 0.2500 0.5000  4 Li 2.47

=====

3.
Density functional theory data (meta-GGA SCAN) for a crystal of Ba3Cr2O8 relaxed with PBEsol.

Computed properties:
DOS at the Fermi energy ... 9.67 states/eV/f.u.
Formation energy from raw total energies ... -2.740 eV per atom
Electronic total energy ... -18.530 eV/atom
Energy above the lowest structure with this stoichiometry ... 9.4 kJ/mol of formula units

Lattice parameters (Å, degrees): 7.8459 7.8459 7.8459 42.65 42.65 42.65
Closest atoms and distances in Å follow each position.
Sites, in units of the cell vectors:
Ba 0.0000 0.0000 0.0000  6 O 2.75
Ba 0.2061 0.2061 0.2061  10 O 2.61-2.91
Ba 0.7939 0.7939 0.7939  10 O 2.61-2.91
Cr 0.4073 0.4073 0.4073  4 O 1.68-1.70
Cr 0.5927 0.5927 0.5927  4 O 1.68-1.70
O 0.2415 0.7269 0.7269  1 Cr 1.70
O 0.2731 0.2731 0.7585  1 Cr 1.70
O 0.2731 0.7585 0.2731  1 Cr 1.70
O 0.3284 0.3284 0.3284  1 Cr 1.68
O 0.6716 0.6716 0.6716  1 Cr 1.68
O 0.7269 0.2415 0.7269  1 Cr 1.70
O 0.7269 0.7269 0.2415  1 Cr 1.70
O 0.7585 0.2731 0.2731  1 Cr 1.70